Record 1
First-principles (PBE-GGA) data for ErTlB4 after structural relaxation, as listed in OQMD via LeMat-Bulk.

Cell: 3.1988 3.1988 9.0087 Å, 90.00 90.00 120.00°
Closest atoms and distances in Å follow each position.
Fractional positions:
Er: 0.0000 0.0000 0.0000  12 B 2.63
Tl: 0.0000 0.0000 0.5000  6 Tl 3.20, 12 B 3.22
B: 0.3333 0.6667 0.2073  3 B 1.85
B: 0.3333 0.6667 0.7927  3 B 1.85
B: 0.6667 0.3333 0.2073  3 B 1.85
B: 0.6667 0.3333 0.7927  3 B 1.85

Output
The calculated volume is 13.30 A^3/atom. The total magnetization comes out at 0.01 μB/f.u. As for the mass density: 8.6 g/cm³. The raw total energy comes out at -0.2020 hartree per atom. As for the energy relative to the lowest polymorph listed for this composition: 79 meV per atom.

=====

Record 2
First-principles (PBE-GGA) data for ErTlB4 after structural relaxation, as listed in OQMD via LeMat-Bulk.

Cell: 3.1974 3.1974 9.0355 Å, 90.00 90.00 120.00°
Closest atoms and distances in Å follow each position.
Fractional positions:
Er: 0.0000 0.0000 0.0000  12 B 2.63
Tl: 0.0000 0.0000 0.5000  6 Tl 3.20, 12 B 3.23
B: 0.3333 0.6667 0.2070  3 B 1.85
B: 0.3333 0.6667 0.7930  3 B 1.85
B: 0.6667 0.3333 0.2070  3 B 1.85
B: 0.6667 0.3333 0.7930  3 B 1.85

Output
The calculated volume is 13.33 A^3/atom. The total magnetization comes out at 0.01 μB/f.u. As for the mass density: 8.6 g/cm³. The raw total energy comes out at -0.2020 hartree per atom. As for the energy relative to the lowest polymorph listed for this composition: 79 meV per atom.